Entry from OQMD via LeMat-Bulk: crystalline Na4InHg3 at its relaxed geometry (PBE).

Values from the calculation:
**Space group**: No. 115

```
Na4InHg3
1.0
5.1734 0.0000 0.0000
0.0000 5.1734 0.0000
0.0000 0.0000 7.2803
Na In Hg
4 1 3
direct
0.0000 0.0000 0.0000
0.0000 0.5000 0.7403
0.5000 0.0000 0.2597
0.5000 0.5000 0.5000
0.5000 0.5000 0.0000
0.0000 0.0000 0.5000
0.0000 0.5000 0.2414
0.5000 0.0000 0.7586
```


Entry from OQMD via LeMat-Bulk: crystalline Y4Hf2Cu3N3 at its relaxed geometry (PBE).

Values from the calculation:
**Space group**: No. 15
**Magnetic moment**: 0.04 μB/f.u.

```
Y4Hf2Cu3N3
1.0
5.1207 -2.9605 0.0000
5.1207 2.9605 0.0000
-3.3224 0.0000 13.7253
Y Hf Cu N
8 4 6 6
direct
0.0442 0.1913 0.1088
0.1212 0.2997 0.3909
0.1913 0.0442 0.6088
0.2997 0.1212 0.8909
0.7003 0.8788 0.1091
0.8087 0.9558 0.3912
0.8788 0.7003 0.6091
0.9558 0.8087 0.8912
0.3453 0.5248 0.0782
0.4752 0.6547 0.4218
0.5248 0.3453 0.5782
0.6547 0.4752 0.9218
0.1699 0.8301 0.2500
0.3388 0.4150 0.7508
0.4150 0.3388 0.2508
0.5850 0.6612 0.7492
0.6612 0.5850 0.2492
0.8301 0.1699 0.7500
0.0000 0.5000 0.0000
0.1925 0.6545 0.5000
0.3455 0.8075 0.0000
0.5000 0.0000 0.5000
0.6545 0.1925 0.0000
0.8075 0.3455 0.5000
```


| no. | final energy (eV per atom) |
| --- | --- |
| 1 | -1.32 |
| 2 | -7.68 |